A relaxed ZrBePd crystal. Source: the Alexandria database, functional PBE.

Unit cell a=3.9491 b=9.5691 c=5.0432 alpha=90.00 beta=90.00 gamma=90.00
Positions (direct):
Pd1 0.5000 0.0771 0.7500
Zr1 0.5000 0.2132 0.2500
Be1 0.0000 0.0000 0.5000
Be2 0.5000 0.5000 0.5000
Pd2 0.0000 0.5771 0.7500
Zr2 0.5000 0.7868 0.7500
Pd3 0.5000 0.9229 0.2500
Zr3 0.0000 0.2868 0.7500
Be3 0.5000 0.5000 0.0000
Zr4 0.0000 0.7132 0.2500
Pd4 0.0000 0.4229 0.2500
Be4 0.0000 0.0000 0.0000

ΔE to the lowest computed polymorph in kJ per mole of atoms: 9.8
Crystal system: orthorhombic
Energy of formation from the pure elements in kJ/mol of atoms: -42.35


A relaxed CaTc3Ge crystal. Source: the Alexandria database, functional PBE.

Unit cell a=4.6843 b=4.6843 c=4.6843 alpha=90.00 beta=90.00 gamma=90.00
Each line ends with the local moment (μB).
Positions (direct):
Tc1 0.5000 0.0000 0.0000  1.48
Tc2 0.0000 0.0000 0.5000  1.25
Ge1 0.5000 0.5000 0.5000  -0.04
Tc3 0.0000 0.5000 0.0000  1.28
Ca1 0.0000 0.0000 0.0000  0.01

ΔE to the lowest computed polymorph in kJ per mole of atoms: 151.2
Crystal system: cubic
Energy of formation from the pure elements in kJ/mol of atoms: 241.28


A relaxed Li2NpU3Se6 crystal. Source: the Alexandria database, functional PBE.

Unit cell a=3.9742 b=8.1699 c=9.1173 alpha=104.19 beta=102.59 gamma=90.00
Each line ends with the local moment (μB).
Positions (direct):
Li1 0.1721 0.3437 0.3442  0.00
U1 0.1656 0.8354 0.3312  2.37
Se1 0.9936 0.7468 0.9872  0.05
Se2 0.0064 0.2532 0.0128  0.05
U2 0.8344 0.1646 0.6688  2.37
U3 0.5000 0.5000 0.0000  -2.33
Li2 0.8279 0.6563 0.6558  0.00
Se3 0.3315 0.4205 0.6630  -0.02
Se4 0.6688 0.0975 0.3375  -0.03
Np1 0.5000 0.0000 0.0000  -3.95
Se5 0.6685 0.5795 0.3370  -0.02
Se6 0.3312 0.9025 0.6625  -0.03

Formation energy from raw total energies in eV per atom: -1.100
Crystal system: monoclinic


A relaxed CdInNiAu2 crystal. Source: the Alexandria database, functional PBE.

Unit cell a=5.1596 b=4.7940 c=5.1596 alpha=90.00 beta=90.00 gamma=90.00
Positions (direct):
Ni1 0.0000 0.5000 0.0000
Au1 0.0000 0.0000 0.5000
Cd1 0.5000 0.5000 0.5000
In1 0.0000 0.0000 0.0000
Au2 0.5000 0.0000 0.0000

Crystal system: tetragonal
Energy of formation from the pure elements in kJ/mol of atoms: 66.43


A relaxed Cu2AgTe6 crystal. Source: the Alexandria database, functional PBE.

Unit cell a=7.9861 b=8.6287 c=8.6287 alpha=66.15 beta=71.95 gamma=71.95
Positions (direct):
Te1 0.9841 0.4466 0.3237
Te2 0.0789 0.0394 0.5995
Cu1 0.7049 0.7688 0.6917
Te3 0.9969 0.2400 0.9580
Ag1 0.7500 0.1409 0.8591
Te4 0.4211 0.4005 0.9606
Te5 0.9211 0.9606 0.4005
Cu2 0.2049 0.6917 0.7688
Te6 0.5031 0.0420 0.7600
Te7 0.0031 0.7600 0.0420
Ag2 0.2500 0.8591 0.1409
Te8 0.5789 0.5995 0.0394
Te9 0.4969 0.9580 0.2400
Te10 0.4841 0.3237 0.4466
Cu3 0.7951 0.3083 0.2312
Te11 0.0159 0.5534 0.6763
Te12 0.5159 0.6763 0.5534
Cu4 0.2951 0.2312 0.3083

Formation energy from raw total energies in eV per atom: 0.020
Crystal system: monoclinic


DFT total energy, respectively: -6.26 -5.04 -7.06 -2.51 -3.30 eV/atom.
Total magnetization, respectively: 0.00 4.38 1.62 0.00 0.00 μB/cell.